! La3TlBrCl (PBE, optimized geometry); values from VASP
! E in eV/atom: -4.541
! Space-group type: No. 11
! Mass density in g/cm3: 6.4
! Formation energy from raw total energies in meV/atom: -1097
&SYSTEM
  ibrav = 0, nat = 12, ntyp = 4
/
ATOMIC_SPECIES
La 138.91 La.upf
Tl 204.38 Tl.upf
Br 79.90 Br.upf
Cl 35.45 Cl.upf
CELL_PARAMETERS angstrom
8.215 0.000 0.000
0.000 4.599 0.000
-3.436 0.000 10.047
ATOMIC_POSITIONS crystal
La 0.181 0.250 0.118
La 0.200 0.250 0.484
La 0.279 0.750 0.812
La 0.721 0.250 0.188
La 0.800 0.750 0.516
La 0.819 0.750 0.882
Tl 0.009 0.750 0.259
Tl 0.991 0.250 0.741
Br 0.439 0.750 0.117
Br 0.561 0.250 0.883
Cl 0.464 0.750 0.614
Cl 0.536 0.250 0.386